[1]
The following is a DFT calculation (GGA-PBE) of an optimized crystal structure of CuTc4Ir.

```
data_CuTc4Ir
_symmetry_space_group_name_H-M 'F -4 3 m'
_symmetry_Int_Tables_number 216
_symmetry_space_group_name_Hall 'F -4 2 3'
_cell_length_a 7.147
_cell_length_b 7.147
_cell_length_c 7.147
_cell_angle_alpha 90.00
_cell_angle_beta 90.00
_cell_angle_gamma 90.00
loop_
_atom_site_label
_atom_site_type_symbol
_atom_site_fract_x
_atom_site_fract_y
_atom_site_fract_z
Cu1 Cu 0.000 0.000 0.000
Tc1 Tc 0.126 0.126 0.626
Ir1 Ir 0.250 0.250 0.250
```

Output
Magnetization in μB/cell: 0.00
N(E_F) in states/eV per atom: 0.855
ΔH_f (0 K) in eV per atom: 0.471
E in eV per atom: -8.599

[2]
The following is a DFT calculation (GGA-PBE) of an optimized crystal structure of NaB2Au.

```
data_NaB2Au
_symmetry_space_group_name_H-M 'I 41/a m d'
_symmetry_Int_Tables_number 141
_cell_length_a 3.814
_cell_length_b 3.814
_cell_length_c 15.751
_cell_angle_alpha 90.00
_cell_angle_beta 90.00
_cell_angle_gamma 90.00
loop_
_symmetry_equiv_pos_as_xyz
'x,y,z'
'-x,-y,-z'
'-y+1/4,x+3/4,z+1/4'
'y+1/4,-x+3/4,-z+1/4'
'-x+1/2,-y,z+1/2'
'x+1/2,y,-z+1/2'
'y+1/4,-x+1/4,z+3/4'
'-y+1/4,x+1/4,-z+3/4'
'x,-y,-z'
'-x,y,z'
'-y+1/4,-x+1/4,-z+3/4'
'y+1/4,x+1/4,z+3/4'
'-x+1/2,y,-z+1/2'
'x+1/2,-y,z+1/2'
'y+1/4,x+3/4,-z+1/4'
'-y+1/4,-x+3/4,z+1/4'
'x+1/2,y+1/2,z+1/2'
'-x+1/2,-y+1/2,-z+1/2'
'-y+3/4,x+1/4,z+3/4'
'y+3/4,-x+1/4,-z+3/4'
'-x,-y+1/2,z'
'x,y+1/2,-z'
'y+3/4,-x+3/4,z+1/4'
'-y+3/4,x+3/4,-z+1/4'
'x+1/2,-y+1/2,-z+1/2'
'-x+1/2,y+1/2,z+1/2'
'-y+3/4,-x+3/4,-z+1/4'
'y+3/4,x+3/4,z+1/4'
'-x,y+1/2,-z'
'x,-y+1/2,z'
'y+3/4,x+1/4,-z+3/4'
'-y+3/4,-x+1/4,z+3/4'
loop_
_atom_site_label
_atom_site_type_symbol
_atom_site_fract_x
_atom_site_fract_y
_atom_site_fract_z
Na1 Na 0.000 0.250 0.375
B1 B 0.000 0.000 0.000
Au1 Au 0.000 0.250 0.875
```

Output
Magnetization in μB/cell: 0.00
N(E_F) in states/eV per atom: 0.198
ΔH_f (0 K) in eV per atom: 0.552
E in eV per atom: -3.936

[3]
The following is a DFT calculation (GGA-PBE) of an optimized crystal structure of NbHg2HCl.

```
data_NbHg2HCl
_symmetry_space_group_name_H-M 'P 4/m m m'
_symmetry_Int_Tables_number 123
_symmetry_space_group_name_Hall '-P 4 2'
_cell_length_a 5.190
_cell_length_b 5.190
_cell_length_c 3.501
_cell_angle_alpha 90.00
_cell_angle_beta 90.00
_cell_angle_gamma 90.00
loop_
_atom_site_label
_atom_site_type_symbol
_atom_site_fract_x
_atom_site_fract_y
_atom_site_fract_z
Nb1 Nb 0.000 0.000 0.000
Hg1 Hg 0.000 0.500 0.500
H1 H 0.000 0.000 0.500
Cl1 Cl 0.500 0.500 0.000
```

Output
Magnetization in μB/cell: 0.00
N(E_F) in states/eV per atom: 0.686
E in eV per atom: -2.839

[4]
The following is a DFT calculation (GGA-PBE) of an optimized crystal structure of CoHg2Os.

```
data_CoHg2Os
_symmetry_space_group_name_H-M 'C 1 2/m 1'
_symmetry_Int_Tables_number 12
_cell_length_a 9.318
_cell_length_b 2.870
_cell_length_c 5.120
_cell_angle_alpha 90.00
_cell_angle_beta 100.99
_cell_angle_gamma 90.00
loop_
_symmetry_equiv_pos_as_xyz
'x,y,z'
'-x,-y,-z'
'-x,y,-z'
'x,-y,z'
'x+1/2,y+1/2,z'
'-x+1/2,-y+1/2,-z'
'-x+1/2,y+1/2,-z'
'x+1/2,-y+1/2,z'
loop_
_atom_site_label
_atom_site_type_symbol
_atom_site_fract_x
_atom_site_fract_y
_atom_site_fract_z
Co1 Co 0.000 0.000 0.000
Hg1 Hg 0.245 0.500 0.244
Os1 Os 0.000 0.500 0.500
```

Output
Magnetization in μB/cell: 3.12
N(E_F) in states/eV per atom: 1.342
ΔH_f (0 K) in eV per atom: 0.844
E in eV per atom: -3.890

[5]
The following is a DFT calculation (GGA-PBE) of an optimized crystal structure of La2SmCdN.

```
data_La2SmCdN
_symmetry_space_group_name_H-M 'P 4/m m m'
_symmetry_Int_Tables_number 123
_symmetry_space_group_name_Hall '-P 4 2'
_cell_length_a 5.136
_cell_length_b 5.136
_cell_length_c 4.984
_cell_angle_alpha 90.00
_cell_angle_beta 90.00
_cell_angle_gamma 90.00
loop_
_atom_site_label
_atom_site_type_symbol
_atom_site_fract_x
_atom_site_fract_y
_atom_site_fract_z
La1 La 0.000 0.500 0.000
Sm1 Sm 0.000 0.000 0.500
Cd1 Cd 0.500 0.500 0.500
N1 N 0.000 0.000 0.000
```

Output
Magnetization in μB/cell: 0.00
N(E_F) in states/eV per atom: 1.041
E in eV per atom: -5.489

[6]
The following is a DFT calculation (GGA-PBE) of an optimized crystal structure of Sc3Cu.

```
data_Sc3Cu
_symmetry_space_group_name_H-M 'R -3 m'
_symmetry_Int_Tables_number 166
_symmetry_space_group_name_Hall '-R 3 2"'
_cell_length_a 3.2786
_cell_length_b 3.2786
_cell_length_c 28.0849
_cell_angle_alpha 90.00
_cell_angle_beta 90.00
_cell_angle_gamma 120.00
loop_
_atom_site_label
_atom_site_type_symbol
_atom_site_fract_x
_atom_site_fract_y
_atom_site_fract_z
Sc1 Sc 0.0000 0.0000 0.0000
Sc2 Sc 0.0000 0.0000 0.2383
Cu1 Cu 0.0000 0.0000 0.5000
```

Output
Magnetization in μB/cell: 0.01
N(E_F) in states/eV per atom: 1.707
ΔH_f (0 K) in eV per atom: 0.054
E in eV per atom: -5.718

[7]
The following is a DFT calculation (GGA-PBE) of an optimized crystal structure of CaSbP2.

```
data_CaSbP2
_symmetry_space_group_name_H-M 'F -4 3 m'
_symmetry_Int_Tables_number 216
_symmetry_space_group_name_Hall 'F -4 2 3'
_cell_length_a 7.074
_cell_length_b 7.074
_cell_length_c 7.074
_cell_angle_alpha 90.00
_cell_angle_beta 90.00
_cell_angle_gamma 90.00
loop_
_atom_site_label
_atom_site_type_symbol
_atom_site_fract_x
_atom_site_fract_y
_atom_site_fract_z
Ca1 Ca 0.000 0.000 0.000
Sb1 Sb 0.250 0.250 0.250
P1 P 0.000 0.000 0.500
P2 P 0.250 0.250 0.750
```

Output
Magnetization in μB/cell: 0.00
N(E_F) in states/eV per atom: 0.622
E in eV per atom: -4.037

[8]
The following is a DFT calculation (GGA-PBE) of an optimized crystal structure of PuNpS2.

```
data_PuNpS2
_symmetry_space_group_name_H-M 'R 3 m'
_symmetry_Int_Tables_number 160
_symmetry_space_group_name_Hall 'R 3 -2"'
_cell_length_a 3.8353
_cell_length_b 3.8353
_cell_length_c 20.8389
_cell_angle_alpha 90.00
_cell_angle_beta 90.00
_cell_angle_gamma 120.00
loop_
_atom_site_label
_atom_site_type_symbol
_atom_site_fract_x
_atom_site_fract_y
_atom_site_fract_z
Pu1 Pu 0.0000 0.0000 0.0000
Np1 Np 0.0000 0.0000 0.1722
S1 S 0.0000 0.0000 0.4181
S2 S 0.0000 0.0000 0.5875
```

Output
Magnetization in μB/cell: 30.90
N(E_F) in states/eV per atom: 3.708
E in eV per atom: -10.301

[9]
The following is a DFT calculation (GGA-PBE) of an optimized crystal structure of Tl2InSe.

```
data_Tl2InSe
_symmetry_space_group_name_H-M 'F -4 3 m'
_symmetry_Int_Tables_number 216
_symmetry_space_group_name_Hall 'F -4 2 3'
_cell_length_a 7.751
_cell_length_b 7.751
_cell_length_c 7.751
_cell_angle_alpha 90.00
_cell_angle_beta 90.00
_cell_angle_gamma 90.00
loop_
_atom_site_label
_atom_site_type_symbol
_atom_site_fract_x
_atom_site_fract_y
_atom_site_fract_z
Tl1 Tl 0.000 0.000 0.000
Tl2 Tl 0.250 0.250 0.250
In1 In 0.000 0.000 0.500
Se1 Se 0.250 0.250 0.750
```

Output
Magnetization in μB/cell: 0.00
N(E_F) in states/eV per atom: 0.551
E in eV per atom: -2.802

[10]
The following is a DFT calculation (GGA-PBE) of an optimized crystal structure of LaCeDy2.

```
data_LaCeDy2
_symmetry_space_group_name_H-M 'R 3 m'
_symmetry_Int_Tables_number 160
_symmetry_space_group_name_Hall 'R 3 -2"'
_cell_length_a 3.5686
_cell_length_b 3.5686
_cell_length_c 34.9406
_cell_angle_alpha 90.00
_cell_angle_beta 90.00
_cell_angle_gamma 120.00
loop_
_atom_site_label
_atom_site_type_symbol
_atom_site_fract_x
_atom_site_fract_y
_atom_site_fract_z
La1 La 0.0000 0.0000 0.0000
Ce1 Ce 0.0000 0.0000 0.8342
Dy1 Dy 0.0000 0.0000 0.2470
Dy2 Dy 0.0000 0.0000 0.4212
```

Output
Magnetization in μB/cell: 1.39
N(E_F) in states/eV per atom: 1.991
ΔH_f (0 K) in eV per atom: 0.061
E in eV per atom: -4.956

[11]
The following is a DFT calculation (GGA-PBE) of an optimized crystal structure of NiOs2RuAu.

```
data_NiOs2RuAu
_symmetry_space_group_name_H-M 'P 4/m m m'
_symmetry_Int_Tables_number 123
_symmetry_space_group_name_Hall '-P 4 2'
_cell_length_a 4.855
_cell_length_b 4.855
_cell_length_c 4.828
_cell_angle_alpha 90.00
_cell_angle_beta 90.00
_cell_angle_gamma 90.00
loop_
_atom_site_label
_atom_site_type_symbol
_atom_site_fract_x
_atom_site_fract_y
_atom_site_fract_z
Ni1 Ni 0.000 0.000 0.000
Os1 Os 0.000 0.500 0.500
Ru1 Ru 0.500 0.500 0.000
Au1 Au 0.500 0.500 0.500
```

Output
Magnetization in μB/cell: 6.86
N(E_F) in states/eV per atom: 1.740
ΔH_f (0 K) in eV per atom: 2.993
E in eV per atom: -5.166

What did we get for calculated density? Answer: 11.79, 7.00, 9.34, 16.07, 7.01, 3.78, 4.20, 10.23, 8.59, 7.81, 10.76 g/cm³, in the order shown.